Record 1
The following is a GGA-PBE calculation of a relaxed structure of CrCoRu2, from Alexandria.

SG: P4/mmm (123)
Energy above the lowest structure with this stoichiometry, meV per atom: 80.9

abc: 2.6405 2.6405 7.2358
angles: 90.00 90.00 90.00
Closest atoms and distances in Å follow each position.
Positions (direct):
Ru1 0.0000 0.0000 0.4991  4 Co 2.59, 4 Cr 2.60, 4 Ru 2.64
Co1 0.5000 0.5000 0.2500  8 Ru 2.59, 4 Co 2.64
Cr1 0.5000 0.5000 0.7500  8 Ru 2.60, 4 Cr 2.64
Ru2 0.0000 0.0000 0.0009  4 Co 2.59, 4 Cr 2.60, 4 Ru 2.64

***

Record 2
The following is a GGA-PBE calculation of a relaxed structure of CrCoRu2, from Alexandria.

SG: P4/mmm (123)
Energy above the lowest structure with this stoichiometry, meV per atom: 0.0

abc: 3.5983 3.7397 3.7397
angles: 90.00 90.00 90.00
Closest atoms and distances in Å follow each position.
Positions (direct):
Ru1 0.0000 0.0000 0.0000  4 Cr 2.59, 4 Co 2.59, 4 Ru 2.64
Cr1 0.5000 0.0000 0.5000  8 Ru 2.59, 4 Co 2.64
Co1 0.5000 0.5000 0.0000  8 Ru 2.59, 4 Cr 2.64
Ru2 0.0000 0.5000 0.5000  4 Cr 2.59, 4 Co 2.59, 4 Ru 2.64

***

Record 3
The following is a GGA-PBE calculation of a relaxed structure of CrCoRu2, from Alexandria.

SG: I-42d (122)
Energy above the lowest structure with this stoichiometry, meV per atom: 1154.3

abc: 5.2454 5.2454 6.3937
angles: 65.78 65.78 90.00
Closest atoms and distances in Å follow each position.
Positions (direct):
Ru1 0.8750 0.8776 0.7500  2 Co 2.26, 2 Cr 2.27
Cr1 0.2500 0.7500 0.5000  4 Ru 2.27
Ru2 0.3750 0.3724 0.7500  2 Co 2.26, 2 Cr 2.27
Co1 0.7500 0.2500 0.5000  4 Ru 2.26
Co2 0.0000 0.0000 0.0000  4 Ru 2.26
Ru3 0.1224 0.6250 0.2500  2 Co 2.26, 2 Cr 2.27
Cr2 0.5000 0.5000 0.0000  4 Ru 2.27
Ru4 0.6276 0.1250 0.2500  2 Co 2.26, 2 Cr 2.27

***

Record 4
The following is a GGA-PBE calculation of a relaxed structure of CrCoRu, from Alexandria.

SG: P-6m2 (187)
Energy above the lowest structure with this stoichiometry, meV per atom: 57.6

abc: 4.0147 4.0147 2.5961
angles: 90.00 90.00 120.00
Closest atoms and distances in Å follow each position.
Positions (direct):
Ru1 0.3333 0.6667 0.6666  2 Ru 2.60, 6 Cr 2.66, 6 Co 2.66
Co1 0.0000 0.0000 0.1662  3 Cr 2.32
Cr1 0.6667 0.3333 0.1672  3 Co 2.32

***

Record 5
The following is a GGA-PBE calculation of a relaxed structure of CrCoRu, from Alexandria.

SG: Ima2 (46)
Energy above the lowest structure with this stoichiometry, meV per atom: 152.3

abc: 6.9349 6.9425 6.9425
angles: 53.21 60.04 60.04
Closest atoms and distances in Å follow each position.
Positions (direct):
Ru1 0.8906 0.7119 0.2119  4 Cr 2.42-2.66, 6 Co 2.61-2.67
Co1 0.9721 0.0648 0.1731  4 Cr 2.31-2.48, 2 Co 2.44-2.54
Co2 0.5442 0.5000 0.5000  4 Cr 2.37-2.59, 4 Ru 2.43-2.65
Ru2 0.8144 0.2881 0.7881  4 Cr 2.42-2.66, 6 Co 2.61-2.67
Co3 0.9721 0.6731 0.5648  4 Cr 2.31-2.48, 2 Co 2.44-2.54
Cr1 0.3173 0.6916 0.1916  4 Co 2.31-2.48, 1 Ru 2.40
Co4 0.5442 0.0000 0.0000  4 Cr 2.37-2.59, 4 Ru 2.43-2.65
Co5 0.2100 0.9352 0.8269  4 Cr 2.31-2.48, 2 Co 2.44-2.54
Cr2 0.9348 0.8649 0.7784  3 Co 2.37-2.40, 4 Ru 2.41-2.56, 1 Cr 2.57
Cr3 0.5781 0.1351 0.2216  3 Co 2.37-2.40, 4 Ru 2.41-2.56, 1 Cr 2.57
Cr4 0.9348 0.2784 0.3649  3 Co 2.37-2.40, 4 Ru 2.41-2.56, 1 Cr 2.57
Ru3 0.2713 0.9166 0.4166  5 Cr 2.41-2.63, 2 Co 2.43
Cr5 0.5781 0.7216 0.6351  3 Co 2.37-2.40, 4 Ru 2.41-2.56, 1 Cr 2.57
Ru4 0.7316 0.5419 0.0419  3 Cr 2.40-2.46, 4 Co 2.64-2.65
Ru5 0.6044 0.0834 0.5834  5 Cr 2.41-2.63, 2 Co 2.43
Cr6 0.2004 0.3084 0.8084  4 Co 2.31-2.48, 1 Ru 2.40
Co6 0.2100 0.3269 0.4352  4 Cr 2.31-2.48, 2 Co 2.44-2.54
Ru6 0.3155 0.4581 0.9581  3 Cr 2.40-2.46, 4 Co 2.64-2.65

***

Record 6
The following is a GGA-PBE calculation of a relaxed structure of CrCoRu2, from Alexandria.

SG: Cmmm (65)
Energy above the lowest structure with this stoichiometry, meV per atom: 65.4

abc: 4.4508 4.4508 2.6702
angles: 90.00 90.00 106.82
Closest atoms and distances in Å follow each position.
Positions (direct):
Co1 0.5000 0.0000 0.5000  8 Ru 2.60, 2 Cr 2.65, 2 Co 2.67
Ru1 0.5000 0.5000 0.0000  4 Co 2.60, 4 Cr 2.60, 4 Ru 2.65-2.67
Cr1 0.0000 0.5000 0.5000  8 Ru 2.60, 2 Co 2.65, 2 Cr 2.67
Ru2 0.0000 0.0000 0.0000  4 Cr 2.60, 4 Co 2.60, 4 Ru 2.65-2.67

***

Record 7
The following is a GGA-PBE calculation of a relaxed structure of CrCoSbRu, from Alexandria.

SG: F-43m (216)
Uncorrected formation energy, eV/atom: 0.05

abc: 4.3461 4.3461 4.3461
angles: 60.00 60.00 60.00
Closest atoms and distances in Å follow each position.
Positions (direct):
Ru1 0.0000 0.0000 0.0000  4 Cr 2.66, 4 Sb 2.66
Co1 0.5000 0.5000 0.5000  4 Cr 2.66, 4 Sb 2.66
Sb1 0.2500 0.2500 0.2500  4 Co 2.66, 4 Ru 2.66
Cr1 0.7500 0.7500 0.7500  4 Co 2.66, 4 Ru 2.66

***

Record 8
The following is a GGA-PBE calculation of a relaxed structure of Sc2CrCoRu, from Alexandria.

SG: P4/mmm (123)
VASP energy, eV/atom: -7.269

abc: 4.7220 4.1578 4.7220
angles: 90.00 90.00 90.00
Closest atoms and distances in Å follow each position.
Positions (direct):
Co1 0.0000 0.0000 0.0000  2 Cr 2.08
Sc1 0.5000 0.0000 0.0000  2 Co 2.36
Sc2 0.0000 0.0000 0.5000  2 Co 2.36
Cr1 0.0000 0.5000 0.0000  2 Co 2.08
Ru1 0.5000 0.5000 0.5000  8 Sc 3.15, 4 Cr 3.34

***

Record 9
The following is a GGA-PBE calculation of a relaxed structure of YCrCoRu2, from Alexandria.

SG: P4/mmm (123)
VASP energy, eV/atom: -7.728

abc: 4.5880 4.2451 4.5880
angles: 90.00 90.00 90.00
Closest atoms and distances in Å follow each position.
Positions (direct):
Ru1 0.0000 0.0000 0.5000  2 Co 2.29
Ru2 0.5000 0.0000 0.0000  2 Co 2.29
Y1 0.5000 0.5000 0.5000  8 Ru 3.13, 4 Cr 3.24
Co1 0.0000 0.0000 0.0000  2 Cr 2.12, 4 Ru 2.29
Cr1 0.0000 0.5000 0.0000  2 Co 2.12

***

Record 10
The following is a GGA-PBE calculation of a relaxed structure of Cr4CoS2, from Alexandria.

SG: I4/mmm (139)
Uncorrected formation energy, eV/atom: 0.56

abc: 4.2692 4.2692 6.8689
angles: 71.89 71.89 90.00
Closest atoms and distances in Å follow each position.
Positions (direct):
S1 0.3860 0.3860 0.2281  5 Cr 2.36-2.56
Cr1 0.1951 0.1951 0.6098  1 S 2.36, 1 Co 2.41
Co1 0.0000 0.0000 0.0000  4 Cr 2.13
Cr2 0.8049 0.8049 0.3902  1 S 2.36, 1 Co 2.41
S2 0.6140 0.6140 0.7719  5 Cr 2.36-2.56
Cr3 0.0000 0.5000 0.0000  2 Co 2.13
Cr4 0.5000 0.0000 0.0000  2 Co 2.13

***

Record 11
The following is a GGA-PBE calculation of a relaxed structure of CrCoS3, from Alexandria.

SG: P2_1/m (11)
Energy above the lowest structure with this stoichiometry, meV per atom: 0.0
Uncorrected formation energy, eV/atom: -0.52

abc: 3.3797 5.9331 8.3751
angles: 104.41 90.00 90.00
Closest atoms and distances in Å follow each position.
Positions (direct):
S1 0.2500 0.4753 0.1416  3 Co 2.22-2.24, 1 Cr 2.43
Cr1 0.7500 0.1426 0.6667  6 S 2.32-2.50
Cr2 0.2500 0.8574 0.3333  6 S 2.32-2.50
Co1 0.7500 0.2655 0.0118  6 S 2.22-2.35
S2 0.7500 0.7646 0.4951  3 Cr 2.32-2.34
Co2 0.2500 0.7345 0.9882  6 S 2.22-2.35
S3 0.2500 0.2354 0.5049  3 Cr 2.32-2.34
S4 0.2500 0.0358 0.8558  3 Co 2.33-2.35, 2 Cr 2.50
S5 0.7500 0.9642 0.1442  3 Co 2.33-2.35, 2 Cr 2.50
S6 0.7500 0.5247 0.8584  3 Co 2.22-2.24, 1 Cr 2.43

***

Record 12
The following is a GGA-PBE calculation of a relaxed structure of CrCoS3, from Alexandria.

SG: Pm-3m (221)
Energy above the lowest structure with this stoichiometry, meV per atom: 1319.0
Uncorrected formation energy, eV/atom: 0.80

abc: 4.3263 4.3263 4.3263
angles: 90.00 90.00 90.00
Closest atoms and distances in Å follow each position.
Positions (direct):
Co1 0.0000 0.0000 0.0000  6 S 2.16
S1 0.0000 0.5000 0.0000  2 Co 2.16
S2 0.0000 0.0000 0.5000  2 Co 2.16
Cr1 0.5000 0.5000 0.5000  12 S 3.06
S3 0.5000 0.0000 0.0000  2 Co 2.16

***

Record 13
The following is a GGA-PBE calculation of a relaxed structure of Cr2CoS, from Alexandria.

SG: I-42d (122)
Uncorrected formation energy, eV/atom: 0.34

abc: 6.3580 6.3580 5.0901
angles: 51.35 51.35 90.00
Closest atoms and distances in Å follow each position.
Positions (direct):
S1 0.5000 0.5000 0.0000  4 Cr 2.21, 2 Co 2.39
Cr1 0.8750 0.8465 0.7500  2 S 2.21, 2 Cr 2.41, 2 Co 2.45
S2 0.2500 0.7500 0.5000  4 Cr 2.21, 2 Co 2.39
Co1 0.7500 0.2500 0.5000  2 S 2.39, 4 Cr 2.45
Cr2 0.3750 0.4035 0.7500  2 S 2.21, 2 Cr 2.41, 2 Co 2.45
Cr3 0.5965 0.1250 0.2500  2 S 2.21, 2 Cr 2.41, 2 Co 2.45
Cr4 0.1535 0.6250 0.2500  2 S 2.21, 2 Cr 2.41, 2 Co 2.45
Co2 0.0000 0.0000 0.0000  2 S 2.39, 4 Cr 2.45

***

Record 14
The following is a GGA-PBE calculation of a relaxed structure of Cr2CoSeS3, from Alexandria.

SG: Imm2 (44)
Uncorrected formation energy, eV/atom: -0.54

abc: 6.9958 6.9958 6.9958
angles: 119.88 119.97 90.13
Closest atoms and distances in Å follow each position.
Positions (direct):
Co1 0.1182 0.1182 0.0000  4 S 2.21-2.22
Cr1 0.7515 0.4842 0.7327  4 S 2.37-2.41, 2 Se 2.52
Se1 0.9893 0.7476 0.2417  1 Co 2.32, 3 Cr 2.52-2.53
Cr2 0.7515 0.0188 0.2673  4 S 2.37-2.41, 2 Se 2.52
S1 0.5089 0.2772 0.7683  1 Co 2.20, 3 Cr 2.41
S2 0.9975 0.2508 0.7467  1 Co 2.21, 3 Cr 2.37-2.38
S3 0.5042 0.2508 0.2533  1 Co 2.21, 3 Cr 2.37-2.38
Cr3 0.2386 0.4919 0.7467  5 S 2.38-2.41, 1 Se 2.53
S4 0.5089 0.7407 0.2317  1 Co 2.20, 3 Cr 2.41
S5 0.9931 0.2565 0.2634  1 Co 2.22, 3 Cr 2.39
S6 0.9931 0.7297 0.7366  1 Co 2.22, 3 Cr 2.39
Se2 0.5059 0.7476 0.7583  1 Co 2.32, 3 Cr 2.52-2.53
Cr4 0.7452 0.4919 0.2533  5 S 2.38-2.41, 1 Se 2.53
Co2 0.3942 0.8942 0.5000  2 S 2.20, 2 Se 2.32

***

Record order is preserved below.
M_tot: 0.5 0.1 0.0 0.2 0.0 0.2 4.0 2.3 4.5 5.4 3.0 0.3 0.0 5.2 μB/f.u.